Crystalline KNbCd at its relaxed geometry, computed with PBE.

Formation energy from the elements, eV/atom: 1.35
Relative energy among the computed polymorphs, meV/atom: 1113.1
Crystal system: cubic

abc: 7.443 7.443 7.443
angles: 90.00 90.00 90.00
Space group F-43m (No. 216)
Symmetry-distinct sites (fractional):
1 K 0.000 0.000 0.000 (multiplicity 4)
2 Nb 0.000 0.000 0.500 (multiplicity 4)
3 Cd 0.250 0.250 0.250 (multiplicity 4)

=====

Crystalline CrPdRhAu at its relaxed geometry, computed with PBE.

Formation energy from the elements, eV/atom: 0.10
Crystal system: cubic

abc: 6.292 6.292 6.292
angles: 90.00 90.00 90.00
Space group F-43m (No. 216)
Symmetry-distinct sites (fractional):
1 Cr 0.000 0.000 0.000 (multiplicity 4)
2 Pd 0.250 0.250 0.250 (multiplicity 4)
3 Rh 0.250 0.250 0.750 (multiplicity 4)
4 Au 0.000 0.000 0.500 (multiplicity 4)

=====

Crystalline ScOsN3 at its relaxed geometry, computed with PBE.

Energy relative to the elements, uncorrected, kcal/mol of atoms: 43.20
Crystal system: cubic

abc: 3.980 3.980 3.980
angles: 90.00 90.00 90.00
Space group Pm-3m (No. 221)
Symmetry-distinct sites (fractional):
1 Sc 0.000 0.000 0.000 (multiplicity 1)
2 Os 0.500 0.500 0.500 (multiplicity 1)
3 N 0.000 0.000 0.500 (multiplicity 3)

=====

Crystalline RbHgSeO4 at its relaxed geometry, computed with PBE.

Energy relative to the elements, uncorrected, kcal/mol of atoms: -16.24
Crystal system: cubic

abc: 9.317 9.317 9.317
angles: 90.00 90.00 90.00
Space group F-43m (No. 216)
Symmetry-distinct sites (fractional):
1 Rb 0.000 0.000 0.000 (multiplicity 4)
2 Hg 0.250 0.250 0.750 (multiplicity 4)
3 Se 0.000 0.000 0.500 (multiplicity 4)
4 O 0.105 0.105 0.605 (multiplicity 16)

=====

Crystalline Zn3SnAu at its relaxed geometry, computed with PBE.

Formation energy from the elements, eV/atom: 0.20
Relative energy among the computed polymorphs, meV/atom: 153.8
Crystal system: cubic

abc: 4.905 4.905 4.905
angles: 90.00 90.00 90.00
Space group Pm-3m (No. 221)
Symmetry-distinct sites (fractional):
1 Zn 0.000 0.000 0.500 (multiplicity 3)
2 Sn 0.500 0.500 0.500 (multiplicity 1)
3 Au 0.000 0.000 0.000 (multiplicity 1)

=====

Crystalline TaSbP2 at its relaxed geometry, computed with PBE.

Energy relative to the elements, uncorrected, kcal/mol of atoms: 2.73
Crystal system: orthorhombic

abc: 3.680 4.738 9.042
angles: 90.00 90.00 90.00
Space group Cmmm (No. 65)
Symmetry-distinct sites (fractional):
1 Ta 0.000 0.000 0.000 (multiplicity 2)
2 Sb 0.000 0.000 0.500 (multiplicity 2)
3 P 0.000 0.500 0.193 (multiplicity 4)

=====

Crystalline Pm2HfAlPt6 at its relaxed geometry, computed with PBE.

Formation energy from the elements, eV/atom: -0.87
Crystal system: trigonal

abc: 5.6940 5.6940 23.9435
angles: 90.00 90.00 120.00
Space group R-3m (No. 166, hexagonal axes)
Symmetry-distinct sites (fractional):
1 Pm 0.0000 0.0000 0.2056 (multiplicity 6)
2 Hf 0.0000 0.0000 0.0000 (multiplicity 3)
3 Al 0.0000 0.0000 0.5000 (multiplicity 3)
4 Pt 0.0037 0.5018 0.2458 (multiplicity 18)

=====

Crystalline Ba3Si9Pd2 at its relaxed geometry, computed with PBE.

Energy relative to the elements, uncorrected, kcal/mol of atoms: -5.27
Crystal system: orthorhombic

abc: 4.153 11.487 12.407
angles: 90.00 90.00 90.00
Space group Immm (No. 71)
Symmetry-distinct sites (fractional):
1 Ba 0.000 0.000 0.000 (multiplicity 2)
2 Ba 0.000 0.000 0.297 (multiplicity 4)
3 Si 0.000 0.284 0.135 (multiplicity 8)
4 Si 0.000 0.331 0.337 (multiplicity 8)
5 Si 0.000 0.500 0.000 (multiplicity 2)
6 Pd 0.000 0.205 0.500 (multiplicity 4)

=====

| no. | total moment (μB/f.u.) |
| --- | --- |
| 1 | 4.0 |
| 2 | 2.8 |
| 3 | 0.7 |
| 4 | 0.0 |
| 5 | 0.0 |
| 6 | 0.0 |
| 7 | 0.0 |
| 8 | 0.0 |